## LaTb6Er3 (GGA-PBE)

Data for an optimized crystal structure of LaTb6Er3.

total magnetization	0.00	Bohr magnetons per cell
SG	Cmc2_1 (36)
total energy	-89.68	eV for the cell shown
energy of formation	155.6	meV per atom

Geometry as POSCAR:
```
LaTb6Er3
1.0
5.525 -9.493 0.000
5.525 9.493 0.000
0.000 0.000 6.194
La Tb Er
2 12 6
Direct
0.204 0.796 0.500
0.796 0.204 0.000
0.040 0.461 0.722
0.045 0.955 0.267
0.284 0.716 0.993
0.289 0.380 0.887
0.380 0.289 0.387
0.461 0.040 0.222
0.539 0.960 0.722
0.620 0.711 0.887
0.711 0.620 0.387
0.716 0.284 0.493
0.955 0.045 0.767
0.960 0.539 0.222
0.065 0.283 0.316
0.283 0.065 0.816
0.389 0.611 0.430
0.611 0.389 0.930
0.717 0.935 0.316
0.935 0.717 0.816
```


## CeTm5Rh4 (GGA-PBE)

Data for an optimized crystal structure of CeTm5Rh4.

total magnetization	0.00	Bohr magnetons per cell
SG	C2/m (12)
total energy	-64.56	eV for the cell shown
energy of formation	-686.0	meV per atom

Geometry as POSCAR:
```
CeTm5Rh4
1.0
9.005 -2.052 0.000
9.005 2.052 0.000
-2.991 0.000 6.715
Ce Tm Rh
1 5 4
Direct
0.000 0.000 0.000
0.000 0.000 0.500
0.334 0.334 0.080
0.334 0.334 0.589
0.666 0.666 0.411
0.666 0.666 0.920
0.201 0.201 0.201
0.500 0.500 0.251
0.500 0.500 0.749
0.799 0.799 0.799
```


## BeHgW2 (GGA-PBE)

Data for an optimized crystal structure of BeHgW2.

total magnetization	0.00	Bohr magnetons per cell
SG	Fm-3m (225)
total energy	-103.53	eV for the cell shown
energy of formation	1012.7	meV per atom

Geometry as POSCAR:
```
BeHgW2
1.0
6.286 0.000 0.000
0.000 6.286 0.000
0.000 0.000 6.286
Be Hg W
4 4 8
Direct
0.000 0.000 0.000
0.000 0.500 0.500
0.500 0.000 0.500
0.500 0.500 0.000
0.000 0.000 0.500
0.000 0.500 0.000
0.500 0.000 0.000
0.500 0.500 0.500
0.250 0.250 0.250
0.250 0.250 0.750
0.250 0.750 0.250
0.250 0.750 0.750
0.750 0.250 0.250
0.750 0.250 0.750
0.750 0.750 0.250
0.750 0.750 0.750
```


## RbAgPbI4 (GGA-PBE)

Data for an optimized crystal structure of RbAgPbI4.

total magnetization	0.00	Bohr magnetons per cell
formation energy (no corrections)	-740	meV/atom
SG	P2_1/m (11)
total energy	-37.82	eV for the cell shown

Geometry as POSCAR:
```
RbAgPbI4
1.0
7.659 0.000 0.000
0.000 8.484 0.000
-3.165 0.000 9.430
Rb Ag Pb I
2 2 2 8
Direct
0.219 0.250 0.049
0.781 0.750 0.951
0.211 0.750 0.321
0.789 0.250 0.679
0.217 0.250 0.554
0.783 0.750 0.446
0.029 0.514 0.722
0.029 0.986 0.722
0.447 0.750 0.149
0.478 0.750 0.596
0.522 0.250 0.404
0.553 0.250 0.851
0.971 0.014 0.278
0.971 0.486 0.278
```


## BaCa2Br (GGA-PBE)

Data for an optimized crystal structure of BaCa2Br.

total magnetization	0.00	Bohr magnetons per cell
formation energy (no corrections)	-618	meV/atom
SG	P4mm (99)
total energy	-10.07	eV for the cell shown

Geometry as POSCAR:
```
BaCa2Br
1.0
3.885 0.000 0.000
0.000 3.885 0.000
0.000 0.000 10.650
Ba Ca Br
1 2 1
Direct
0.000 0.000 0.000
0.000 0.000 0.431
0.500 0.500 0.694
0.500 0.500 0.227
```


## HfThCu10 (GGA-PBE)

Data for an optimized crystal structure of HfThCu10.

total magnetization	0.00	Bohr magnetons per cell
SG	Pmmm (47)
total energy	-59.28	eV for the cell shown
energy of formation	-78.4	meV per atom

Geometry as POSCAR:
```
HfThCu10
1.0
4.100 0.000 0.000
0.000 5.002 0.000
0.000 0.000 8.628
Hf Th Cu
1 1 10
Direct
0.000 0.000 0.000
0.000 0.500 0.500
0.000 0.000 0.318
0.000 0.000 0.682
0.000 0.500 0.156
0.000 0.500 0.844
0.500 0.000 0.500
0.500 0.246 0.242
0.500 0.246 0.758
0.500 0.500 0.000
0.500 0.754 0.242
0.500 0.754 0.758
```


## RbPrCuO3 (GGA-PBE)

Data for an optimized crystal structure of RbPrCuO3.

total magnetization	0.00	Bohr magnetons per cell
formation energy (no corrections)	-1865	meV/atom
SG	P2_1/m (11)
total energy	-71.82	eV for the cell shown

Geometry as POSCAR:
```
RbPrCuO3
1.0
7.742 0.000 0.000
0.000 3.851 0.000
-3.008 0.000 8.481
Rb Pr Cu O
2 2 2 6
Direct
0.188 0.250 0.186
0.812 0.750 0.814
0.329 0.750 0.854
0.671 0.250 0.146
0.038 0.250 0.623
0.962 0.750 0.377
0.049 0.750 0.605
0.128 0.250 0.850
0.464 0.750 0.126
0.536 0.250 0.874
0.872 0.750 0.150
0.951 0.250 0.395
```


## PaSe (GGA-PBE)

Data for an optimized crystal structure of PaSe.

total magnetization	2.51	Bohr magnetons per cell
formation energy (no corrections)	-1200	meV/atom
SG	Fm-3m (225)
total energy	-61.52	eV for the cell shown

Geometry as POSCAR:
```
PaSe
1.0
5.758 0.000 0.000
0.000 5.758 0.000
0.000 0.000 5.758
Pa Se
4 4
Direct
0.000 0.000 0.000
0.000 0.500 0.500
0.500 0.000 0.500
0.500 0.500 0.000
0.000 0.000 0.500
0.000 0.500 0.000
0.500 0.000 0.000
0.500 0.500 0.500
```


Number 1: theoretical density 8.1 g cm⁻³. Number 2: theoretical density 9.3 g cm⁻³. Number 3: theoretical density 15.4 g cm⁻³. Number 4: theoretical density 4.9 g cm⁻³. Number 5: theoretical density 3.1 g cm⁻³. Number 6: theoretical density 9.8 g cm⁻³. Number 7: theoretical density 4.4 g cm⁻³. Number 8: theoretical density 10.8 g cm⁻³.